DFT (PBE-GGA) results for a relaxed structure of ZrIn2Tc.

Cell: 3.6372 4.6239 4.7075 Å, 90.00 90.00 90.00°
Atoms (fractional coordinates):
Zr 0.0000 0.0000 0.0000
In 0.0000 0.5000 0.5000
In 0.5000 0.0000 0.5000
Tc 0.5000 0.5000 0.0000

Spin magnetization ... 0.00 μB/cell
Distance to the lowest polymorph of the same formula ... 53 meV/atom
Formation energy from the elements ... 0.00 eV per atom
Fermi-level density of states ... 2.1 states/eV/cell
Crystal system ... orthorhombic